Entry from Alexandria: a relaxed structure of Ca2PmMoN4 (GGA-PBE).

Values from the calculation:
Density: 4.62 g cm⁻³
Spin magnetization: 0.63 μB per formula unit
Uncorrected formation energy: -7.86 eV/f.u.
Calculated total energy: -7.5935 eV per atom
V: 271 Å³/cell
Space-group type: No. 31

Lattice parameters (Å, degrees): 5.1885 6.7655 7.7193 90.00 90.00 90.00
With the nearest neighbours (Å) after each atom.
Atoms (fractional coordinates):
Ca 0.4518 0.3385 0.2541  4 N 2.28-2.49
Ca 0.4518 0.3385 0.7459  4 N 2.28-2.49
Ca 0.9518 0.6615 0.7541  4 N 2.28-2.49
Ca 0.9518 0.6615 0.2459  4 N 2.28-2.49
Pm 0.9502 0.1453 0.5000  3 N 2.27-2.42
Pm 0.4502 0.8547 0.0000  3 N 2.27-2.42
Mo 0.4946 0.8253 0.5000  4 N 1.89-1.97
Mo 0.9946 0.1747 0.0000  4 N 1.89-1.97
N 0.3581 0.1832 0.0000  1 Mo 1.89
N 0.8581 0.8168 0.5000  1 Mo 1.89
N 0.4407 0.1139 0.5000  1 Mo 1.97
N 0.9407 0.8861 0.0000  1 Mo 1.97
N 0.4264 0.6988 0.7183  1 Mo 1.92
N 0.9264 0.3012 0.2183  1 Mo 1.92
N 0.9264 0.3012 0.7817  1 Mo 1.92
N 0.4264 0.6988 0.2817  1 Mo 1.92



Entry from Alexandria: a relaxed structure of RbLiZrS3 (GGA-PBE).

Values from the calculation:
Density: 3.10 g cm⁻³
Spin magnetization: 0.00 μB per formula unit
Uncorrected formation energy: -8.88 eV/f.u.
Calculated total energy: -5.4481 eV per atom
V: 299 Å³/cell
Space-group type: No. 11

Lattice parameters (Å, degrees): 3.8663 8.8617 9.3541 110.88 90.00 90.00
With the nearest neighbours (Å) after each atom.
Atoms (fractional coordinates):
Rb 0.2500 0.2193 0.2572  7 S 3.38-3.54
Rb 0.7500 0.7807 0.7428  7 S 3.38-3.54
Li 0.2500 0.0766 0.6012  4 S 2.38-2.45
Li 0.7500 0.9234 0.3988  4 S 2.38-2.45
Zr 0.2500 0.6772 0.1570  6 S 2.49-2.68
Zr 0.7500 0.3228 0.8430  6 S 2.49-2.68
S 0.7500 0.8610 0.1298  1 Li 2.38, 2 Zr 2.60
S 0.2500 0.1390 0.8702  1 Li 2.38, 2 Zr 2.60
S 0.2500 0.7887 0.4416  3 Li 2.38-2.45, 1 Zr 2.49
S 0.7500 0.2113 0.5584  3 Li 2.38-2.45, 1 Zr 2.49
S 0.7500 0.4714 0.1478  3 Zr 2.64-2.68
S 0.2500 0.5286 0.8522  3 Zr 2.64-2.68